1.
Material: Fe2AgBr
Method: DFT, GGA-PBE
State: optimized geometry Values from VASP.

Geometry as Quantum ESPRESSO input:
```
&SYSTEM
  ibrav = 0, nat = 4, ntyp = 3
/
ATOMIC_SPECIES
Fe 55.84 Fe.upf
Ag 107.87 Ag.upf
Br 79.90 Br.upf
ATOMIC_POSITIONS crystal
Fe 0.000 0.000 0.000
Fe 0.500 0.500 0.000
Ag 0.000 0.500 0.500
Br 0.500 0.000 0.500
CELL_PARAMETERS angstrom
3.317 0.000 0.000
0.000 4.520 0.000
0.000 0.000 4.543
```

Output
energy relative to the lowest polymorph listed for this composition: 1.65 eV/f.u.
raw formation energy: 0.755 eV per atom
symmetry: Pmmm, No. 47


2.
Material: Tb2IrAu
Method: DFT, GGA-PBE
State: optimized geometry Values from VASP.

Geometry as Quantum ESPRESSO input:
```
&SYSTEM
  ibrav = 0, nat = 12, ntyp = 3
/
ATOMIC_SPECIES
Tb 158.93 Tb.upf
Ir 192.22 Ir.upf
Au 196.97 Au.upf
ATOMIC_POSITIONS crystal
Tb 0.000 0.000 0.239
Tb 0.000 0.000 0.761
Tb 0.333 0.667 0.427
Tb 0.333 0.667 0.906
Tb 0.667 0.333 0.094
Tb 0.667 0.333 0.573
Ir 0.000 0.000 0.500
Ir 0.333 0.667 0.167
Ir 0.667 0.333 0.833
Au 0.000 0.000 0.000
Au 0.333 0.667 0.667
Au 0.667 0.333 0.333
CELL_PARAMETERS angstrom
4.082 0.000 0.000
-2.041 3.535 0.000
0.000 0.000 20.818
```

Output
energy of formation from the pure elements: -0.729 eV/atom
symmetry: R-3m, No. 166


3.
Material: TaIn2Rh
Method: DFT, GGA-PBE
State: optimized geometry Values from VASP.

Geometry as Quantum ESPRESSO input:
```
&SYSTEM
  ibrav = 0, nat = 8, ntyp = 3
/
ATOMIC_SPECIES
Ta 180.95 Ta.upf
In 114.82 In.upf
Rh 102.91 Rh.upf
ATOMIC_POSITIONS crystal
Ta 0.000 0.000 0.000
Ta 0.500 0.500 0.500
In 0.000 0.500 0.233
In 0.000 0.500 0.767
In 0.500 0.000 0.267
In 0.500 0.000 0.733
Rh 0.000 0.000 0.500
Rh 0.500 0.500 0.000
CELL_PARAMETERS angstrom
3.057 0.000 0.000
0.000 5.099 0.000
0.000 0.000 9.706
```

Output
energy of formation from the pure elements: 0.084 eV/atom
symmetry: Immm, No. 71


4.
Material: La3Al5H12
Method: DFT, GGA-PBE
State: optimized geometry Values from VASP.

Geometry as Quantum ESPRESSO input:
```
&SYSTEM
  ibrav = 0, nat = 80, ntyp = 3
/
ATOMIC_SPECIES
La 138.91 La.upf
Al 26.98 Al.upf
H 1.01 H.upf
ATOMIC_POSITIONS crystal
La 0.125 0.250 0.375
La 0.125 0.375 0.750
La 0.250 0.375 0.125
La 0.250 0.875 0.625
La 0.375 0.125 0.250
La 0.375 0.750 0.125
La 0.625 0.250 0.875
La 0.625 0.875 0.750
La 0.750 0.125 0.375
La 0.750 0.625 0.875
La 0.875 0.625 0.250
La 0.875 0.750 0.625
Al 0.000 0.000 0.000
Al 0.000 0.000 0.500
Al 0.000 0.500 0.000
Al 0.000 0.500 0.500
Al 0.125 0.750 0.875
Al 0.125 0.875 0.250
Al 0.250 0.125 0.875
Al 0.250 0.625 0.375
Al 0.375 0.250 0.625
Al 0.375 0.625 0.750
Al 0.500 0.000 0.000
Al 0.500 0.000 0.500
Al 0.500 0.500 0.000
Al 0.500 0.500 0.500
Al 0.625 0.375 0.250
Al 0.625 0.750 0.375
Al 0.750 0.375 0.625
Al 0.750 0.875 0.125
Al 0.875 0.125 0.750
Al 0.875 0.250 0.125
H 0.018 0.197 0.114
H 0.018 0.321 0.904
H 0.083 0.697 0.679
H 0.083 0.886 0.404
H 0.096 0.614 0.417
H 0.096 0.982 0.679
H 0.114 0.018 0.197
H 0.114 0.596 0.917
H 0.179 0.197 0.583
H 0.179 0.482 0.596
H 0.197 0.114 0.018
H 0.197 0.583 0.179
H 0.303 0.321 0.917
H 0.303 0.482 0.386
H 0.321 0.904 0.018
H 0.321 0.917 0.303
H 0.386 0.303 0.482
H 0.386 0.583 0.904
H 0.404 0.083 0.886
H 0.404 0.821 0.518
H 0.417 0.096 0.614
H 0.417 0.821 0.803
H 0.482 0.386 0.303
H 0.482 0.596 0.179
H 0.518 0.404 0.821
H 0.518 0.614 0.697
H 0.583 0.179 0.197
H 0.583 0.904 0.386
H 0.596 0.179 0.482
H 0.596 0.917 0.114
H 0.614 0.417 0.096
H 0.614 0.697 0.518
H 0.679 0.083 0.697
H 0.679 0.096 0.982
H 0.697 0.518 0.614
H 0.697 0.679 0.083
H 0.803 0.417 0.821
H 0.803 0.886 0.982
H 0.821 0.518 0.404
H 0.821 0.803 0.417
H 0.886 0.404 0.083
H 0.886 0.982 0.803
H 0.904 0.018 0.321
H 0.904 0.386 0.583
H 0.917 0.114 0.596
H 0.917 0.303 0.321
H 0.982 0.679 0.096
H 0.982 0.803 0.886
CELL_PARAMETERS angstrom
-6.178 6.178 6.178
6.178 -6.178 6.178
6.178 6.178 -6.178
```

Output
raw total energy: -297.846 eV for the cell shown
symmetry: Ia-3d, No. 230


5.
Material: ErCo12Si6
Method: DFT, GGA-PBE
State: optimized geometry Values from VASP.

Geometry as Quantum ESPRESSO input:
```
&SYSTEM
  ibrav = 0, nat = 19, ntyp = 3
/
ATOMIC_SPECIES
Er 167.26 Er.upf
Co 58.93 Co.upf
Si 28.09 Si.upf
ATOMIC_POSITIONS crystal
Er 0.000 0.000 0.000
Co 0.128 0.500 0.872
Co 0.128 0.872 0.500
Co 0.178 0.436 0.436
Co 0.436 0.178 0.436
Co 0.436 0.436 0.178
Co 0.500 0.128 0.872
Co 0.500 0.872 0.128
Co 0.564 0.564 0.822
Co 0.564 0.822 0.564
Co 0.822 0.564 0.564
Co 0.872 0.128 0.500
Co 0.872 0.500 0.128
Si 0.245 0.245 0.695
Si 0.245 0.695 0.245
Si 0.305 0.755 0.755
Si 0.695 0.245 0.245
Si 0.755 0.305 0.755
Si 0.755 0.755 0.305
CELL_PARAMETERS angstrom
5.156 2.977 2.575
-5.156 2.977 2.575
0.000 -5.953 2.575
```

Output
raw formation energy: -0.359 eV per atom
symmetry: R-3m, No. 166


6.
Material: Dy2VTcN5
Method: DFT, GGA-PBE
State: optimized geometry Values from VASP.

Geometry as Quantum ESPRESSO input:
```
&SYSTEM
  ibrav = 0, nat = 18, ntyp = 4
/
ATOMIC_SPECIES
Dy 162.50 Dy.upf
V 50.94 V.upf
Tc 98.00 Tc.upf
N 14.01 N.upf
ATOMIC_POSITIONS crystal
Dy 0.109 0.891 0.500
Dy 0.146 0.854 0.091
Dy 0.854 0.146 0.591
Dy 0.891 0.109 0.000
V 0.476 0.524 0.266
V 0.524 0.476 0.766
Tc 0.224 0.776 0.815
Tc 0.776 0.224 0.315
N 0.049 0.951 0.850
N 0.283 0.717 0.441
N 0.318 0.682 0.178
N 0.373 0.627 0.810
N 0.490 0.510 0.589
N 0.510 0.490 0.089
N 0.627 0.373 0.310
N 0.682 0.318 0.678
N 0.717 0.283 0.941
N 0.951 0.049 0.350
CELL_PARAMETERS angstrom
1.652 -6.447 0.000
1.652 6.447 0.000
0.000 0.000 9.825
```

Output
raw formation energy: -0.965 eV per atom
symmetry: Cmc2_1, No. 36


7.
Material: Pr6Ga3Hg
Method: DFT, GGA-PBE
State: optimized geometry Values from VASP.

Geometry as Quantum ESPRESSO input:
```
&SYSTEM
  ibrav = 0, nat = 20, ntyp = 3
/
ATOMIC_SPECIES
Pr 140.91 Pr.upf
Ga 69.72 Ga.upf
Hg 200.59 Hg.upf
ATOMIC_POSITIONS crystal
Pr 0.007 0.104 0.245
Pr 0.007 0.396 0.745
Pr 0.218 0.673 0.066
Pr 0.218 0.827 0.566
Pr 0.401 0.161 0.072
Pr 0.401 0.339 0.572
Pr 0.599 0.661 0.428
Pr 0.599 0.839 0.928
Pr 0.782 0.173 0.434
Pr 0.782 0.327 0.934
Pr 0.993 0.604 0.255
Pr 0.993 0.896 0.755
Ga 0.000 0.000 0.000
Ga 0.000 0.500 0.500
Ga 0.299 0.138 0.750
Ga 0.299 0.362 0.250
Ga 0.701 0.638 0.750
Ga 0.701 0.862 0.250
Hg 0.500 0.000 0.500
Hg 0.500 0.500 0.000
CELL_PARAMETERS angstrom
7.969 0.000 0.000
0.000 8.193 0.000
-7.667 0.000 9.421
```

Output
energy of formation from the pure elements: -0.292 eV/atom
symmetry: P2_1/c, No. 14


8.
Material: NaBeI3
Method: DFT, GGA-PBE
State: optimized geometry Values from VASP.

Geometry as Quantum ESPRESSO input:
```
&SYSTEM
  ibrav = 0, nat = 5, ntyp = 3
/
ATOMIC_SPECIES
Na 22.99 Na.upf
Be 9.01 Be.upf
I 126.90 I.upf
ATOMIC_POSITIONS crystal
Na 0.000 0.000 0.000
Be 0.500 0.500 0.500
I 0.000 0.000 0.500
I 0.000 0.500 0.000
I 0.500 0.000 0.000
CELL_PARAMETERS angstrom
5.924 0.000 0.000
0.000 5.924 0.000
0.000 0.000 5.924
```

Output
energy relative to the lowest polymorph listed for this composition: 6.44 eV/f.u.
raw formation energy: 0.488 eV per atom
symmetry: Pm-3m, No. 221


9.
Material: SrZr3Ge
Method: DFT, GGA-PBE
State: optimized geometry Values from VASP.

Geometry as Quantum ESPRESSO input:
```
&SYSTEM
  ibrav = 0, nat = 5, ntyp = 3
/
ATOMIC_SPECIES
Sr 87.62 Sr.upf
Zr 91.22 Zr.upf
Ge 72.64 Ge.upf
ATOMIC_POSITIONS crystal
Sr 0.000 0.000 0.000
Zr 0.000 0.500 0.500
Zr 0.500 0.000 0.500
Zr 0.500 0.500 0.000
Ge 0.500 0.500 0.500
CELL_PARAMETERS angstrom
5.238 0.000 0.000
0.000 5.238 0.000
0.000 0.000 5.238
```

Output
energy relative to the lowest polymorph listed for this composition: 0.00 eV/f.u.
energy of formation from the pure elements: 0.265 eV/atom
symmetry: Pm-3m, No. 221


10.
Material: Ho5Sn2Pb2
Method: DFT, GGA-PBE
State: optimized geometry Values from VASP.

Geometry as Quantum ESPRESSO input:
```
&SYSTEM
  ibrav = 0, nat = 18, ntyp = 3
/
ATOMIC_SPECIES
Ho 164.93 Ho.upf
Sn 118.71 Sn.upf
Pb 207.20 Pb.upf
ATOMIC_POSITIONS crystal
Ho 0.000 0.000 0.000
Ho 0.035 0.696 0.668
Ho 0.196 0.535 0.168
Ho 0.304 0.965 0.668
Ho 0.465 0.804 0.168
Ho 0.500 0.500 0.500
Ho 0.535 0.196 0.832
Ho 0.696 0.035 0.332
Ho 0.804 0.465 0.832
Ho 0.965 0.304 0.332
Sn 0.134 0.866 0.365
Sn 0.366 0.634 0.865
Sn 0.634 0.366 0.135
Sn 0.866 0.134 0.635
Pb 0.208 0.208 0.000
Pb 0.292 0.292 0.500
Pb 0.708 0.708 0.500
Pb 0.792 0.792 0.000
CELL_PARAMETERS angstrom
7.775 -4.082 0.000
7.775 4.082 0.000
0.000 0.000 8.147
```

Output
energy of formation from the pure elements: -0.639 eV/atom
symmetry: Cmce, No. 64


11.
Material: Y3Mg2CrS8
Method: DFT, GGA-PBE
State: optimized geometry Values from VASP.

Geometry as Quantum ESPRESSO input:
```
&SYSTEM
  ibrav = 0, nat = 14, ntyp = 4
/
ATOMIC_SPECIES
Y 88.91 Y.upf
Mg 24.30 Mg.upf
Cr 52.00 Cr.upf
S 32.06 S.upf
ATOMIC_POSITIONS crystal
Y 0.000 0.500 0.500
Y 0.500 0.000 0.500
Y 0.500 0.500 0.000
Mg 0.126 0.126 0.126
Mg 0.874 0.874 0.874
Cr 0.500 0.500 0.500
S 0.255 0.255 0.255
S 0.270 0.270 0.729
S 0.270 0.729 0.270
S 0.271 0.730 0.730
S 0.729 0.270 0.270
S 0.730 0.271 0.730
S 0.730 0.730 0.271
S 0.745 0.745 0.745
CELL_PARAMETERS angstrom
3.891 2.247 6.256
-3.891 2.247 6.256
0.000 -4.493 6.256
```

Output
raw formation energy: -1.596 eV per atom
symmetry: R-3m, No. 166


12.
Material: Pm12Nd7Sc
Method: DFT, GGA-PBE
State: optimized geometry Values from VASP.

Geometry as Quantum ESPRESSO input:
```
&SYSTEM
  ibrav = 0, nat = 20, ntyp = 3
/
ATOMIC_SPECIES
Pm 145.00 Pm.upf
Nd 144.24 Nd.upf
Sc 44.96 Sc.upf
ATOMIC_POSITIONS crystal
Pm 0.047 0.340 0.946
Pm 0.054 0.953 0.660
Pm 0.212 0.759 0.358
Pm 0.241 0.642 0.788
Pm 0.340 0.946 0.047
Pm 0.358 0.212 0.759
Pm 0.642 0.788 0.241
Pm 0.660 0.054 0.953
Pm 0.759 0.358 0.212
Pm 0.788 0.241 0.642
Pm 0.946 0.047 0.340
Pm 0.953 0.660 0.054
Nd 0.000 0.000 0.000
Nd 0.134 0.384 0.448
Nd 0.384 0.448 0.134
Nd 0.448 0.134 0.384
Nd 0.552 0.866 0.616
Nd 0.616 0.552 0.866
Nd 0.866 0.616 0.552
Sc 0.500 0.500 0.500
CELL_PARAMETERS angstrom
6.398 3.694 4.904
-6.398 3.694 4.904
0.000 -7.388 4.904
```

Output
energy relative to the lowest polymorph listed for this composition: 3.20 eV/f.u.
energy of formation from the pure elements: 0.229 eV/atom
symmetry: R-3, No. 148